A geometry-optimized Ba3MoO6 structure, computed with PBE with a Hubbard U.

Cell lengths 7.267, 7.267, 7.267 Å; angles 91.81, 91.81, 91.81 degrees
Element x y z (fractional)
Ba 0.439 0.936 0.746
Ba 0.936 0.746 0.439
Ba 0.254 0.561 0.064
Ba 0.746 0.439 0.936
Ba 0.064 0.254 0.561
Ba 0.561 0.064 0.254
Mo 0.000 0.000 0.000
Mo 0.500 0.500 0.500
O 0.259 0.945 0.065
O 0.055 0.935 0.741
O 0.570 0.759 0.455
O 0.935 0.741 0.055
O 0.455 0.570 0.759
O 0.241 0.545 0.430
O 0.759 0.455 0.570
O 0.545 0.430 0.241
O 0.065 0.259 0.945
O 0.430 0.241 0.545
O 0.945 0.065 0.259
O 0.741 0.055 0.935

## Properties
Raw total energy = -132.707 eV/cell
N(E_F) = 0.00 states/eV/cell
Space group = R-3 (148)